[1]
The following is a DFT calculation (PBE) of a relaxed GdInAsO crystal.

Cell lengths 4.107, 4.107, 9.834 Å; angles 90.00, 90.00, 90.00 degrees
Space group P4/nmm (No. 129, origin choice 2)
Symmetry-distinct sites (fractional):
1 Gd 0.250 0.250 0.107 (multiplicity 2)
2 In 0.250 0.750 0.500 (multiplicity 2)
3 As 0.250 0.250 0.720 (multiplicity 2)
4 O 0.250 0.750 0.000 (multiplicity 2)

Computed properties:
* V: 20.7 Å³/atom
* magnetic moment: 0.0 μB per formula unit
* raw total energy: -46.0 eV/cell
* polymorph energy (0 for the lowest one): 0 meV per atom

---

[2]
The following is a DFT calculation (PBE) of a relaxed GdInAsO crystal.

Cell lengths 4.149, 7.562, 5.988 Å; angles 90.00, 90.00, 90.00 degrees
Space group Pmc2_1 (No. 26)
Symmetry-distinct sites (fractional):
1 Gd 0.000 0.192 0.000 (multiplicity 2)
2 In 0.500 0.396 0.584 (multiplicity 2)
3 As 0.000 0.188 0.492 (multiplicity 2)
4 O 0.500 0.303 0.975 (multiplicity 2)

Computed properties:
* V: 23.5 Å³/atom
* magnetic moment: 0.0 μB per formula unit
* raw total energy: -44.5 eV/cell
* polymorph energy (0 for the lowest one): 189 meV per atom